Entry from Alexandria via LeMat-Bulk: BeAl2Ir after structural relaxation (GGA-PBE).

```
BeAl2Ir
1.0
4.790 0.000 0.005
0.000 7.338 0.000
-0.754 0.000 6.197
Be Ir Al
4 4 8
Cartesian
0.541 0.000 2.393
0.164 3.669 5.491
4.211 0.000 4.563
4.588 3.669 1.464
1.468 0.000 0.246
1.091 3.669 3.345
2.980 0.000 2.685
2.602 3.669 5.783
1.916 5.095 1.428
1.916 2.243 1.428
1.539 1.426 4.527
1.539 5.912 4.527
4.138 5.989 0.467
4.138 1.348 0.467
3.761 2.321 3.565
3.761 5.017 3.565
```

Values from the calculation:
The value obtained for the total energy is -89.05 eV/cell. The theoretical density is 7.782 g cm⁻³. Its space group is Cm (8). The energy of formation from the pure elements is -548 meV/atom.

Entry from Alexandria via LeMat-Bulk: La8Rh3SCl4 after structural relaxation (GGA-PBE).

```
La8Rh3SCl4
1.0
-7.121 -4.170 -1.234
-0.759 -1.280 8.705
0.786 7.828 -2.779
La Rh S Cl
8 3 1 4
Cartesian
-1.497 5.713 3.234
-1.885 1.856 4.603
-1.683 2.655 0.739
-5.007 3.658 2.626
-2.088 -1.280 2.066
-5.411 -0.277 3.953
-5.209 0.522 0.089
-5.597 -3.335 1.458
-3.940 -2.725 3.735
-3.547 1.189 2.346
0.013 3.274 2.963
-0.380 -0.640 4.352
-3.560 -2.085 -0.617
-3.167 1.829 -2.007
0.000 0.000 0.000
0.393 3.914 -1.390
```

Values from the calculation:
The value obtained for the total energy is -95.07 eV/cell. The theoretical density is 5.931 g cm⁻³. The value obtained for the uncorrected formation energy is -1.38 eV per atom. Its space group is R-3m (166).

Entry from Alexandria via LeMat-Bulk: U3Hg5Se12 after structural relaxation (GGA-PBE).

```
U3Hg5Se12
1.0
14.235 0.000 0.000
-4.745 13.421 0.000
-4.745 -6.710 11.623
U Hg Se
12 20 48
Cartesian
8.304 4.194 1.453
8.304 9.227 1.453
-1.186 5.872 7.264
1.186 -0.839 4.358
10.676 0.000 2.906
1.186 6.710 2.906
3.559 0.000 8.717
-5.931 6.710 8.717
3.559 7.549 7.264
5.931 0.839 4.358
-3.559 -2.516 10.170
-3.559 2.516 10.170
-1.186 3.355 2.906
-2.372 6.710 0.000
0.000 0.000 0.000
3.559 2.516 1.453
4.745 -3.355 5.811
4.745 6.710 0.000
-3.559 7.549 4.358
5.931 -4.194 10.170
5.931 5.872 4.358
1.186 -3.355 8.717
3.559 10.065 2.906
2.372 3.355 5.811
7.117 0.000 0.000
-2.372 -3.355 5.811
-1.186 0.839 7.264
-1.186 10.904 1.453
-4.745 3.355 5.811
8.304 -0.839 7.264
1.186 4.194 10.170
5.931 3.355 8.717
9.420 1.477 0.642
0.070 4.649 4.853
10.430 3.025 3.184
6.178 2.110 1.600
1.748 5.243 7.797
9.874 6.670 1.986
-0.940 7.625 4.784
-3.805 11.310 1.600
0.625 8.178 7.797
6.733 6.750 1.986
7.187 3.538 4.211
7.187 11.944 0.642
-4.120 6.019 6.453
2.757 5.011 1.027
-4.815 9.883 4.211
2.442 -2.061 6.769
-0.625 0.776 2.627
2.757 8.450 0.958
6.178 10.396 3.184
-0.385 4.971 0.958
-2.997 7.486 8.995
3.312 5.796 4.784
6.492 7.402 6.453
5.129 -1.700 10.595
1.433 0.914 6.839
-1.748 -0.692 5.169
-0.385 8.410 1.027
-1.433 -3.686 8.439
7.742 -0.776 2.627
5.129 1.740 10.664
1.988 -1.740 10.664
2.303 8.771 4.853
5.370 5.934 8.995
9.560 -3.173 7.411
8.865 0.692 5.169
-2.442 -5.233 10.981
1.988 1.700 10.595
4.120 -1.468 3.826
-1.988 -0.040 9.637
-2.442 3.173 7.411
8.550 -4.600 10.023
5.685 -0.914 6.839
-1.433 4.600 10.023
-5.129 0.040 9.637
2.997 1.468 3.826
-5.685 3.686 8.439
4.675 2.061 6.769
-4.675 5.233 10.981
```

Values from the calculation:
The value obtained for the total energy is -343.74 eV/cell. The theoretical density is 7.971 g cm⁻³. The value obtained for the uncorrected formation energy is -0.44 eV per atom. Its space group is Ia-3d (230).

Entry from Alexandria via LeMat-Bulk: La7Tb12In after structural relaxation (GGA-PBE).

```
La7Tb12In
1.0
8.553 1.721 -1.282
-1.706 8.556 -1.282
1.147 1.721 8.573
La Tb In
7 12 1
Cartesian
1.623 7.099 5.592
3.685 3.891 6.004
0.975 7.767 1.870
3.997 5.999 3.004
7.019 4.232 4.138
4.309 8.107 0.004
6.371 4.900 0.417
0.510 4.409 7.144
6.623 3.837 7.505
4.105 2.418 2.201
7.016 8.063 2.677
0.055 9.830 4.275
5.699 7.279 5.995
2.295 4.720 0.013
7.939 2.168 1.733
0.978 3.936 3.331
3.889 9.581 3.807
1.371 8.162 -1.497
7.484 7.590 -1.136
0.000 0.000 0.000
```

Values from the calculation:
The value obtained for the total energy is -89.84 eV/cell. The theoretical density is 7.256 g cm⁻³. Its space group is R-3 (148). The energy of formation from the pure elements is 148 meV/atom.

Entry from Alexandria via LeMat-Bulk: HfMg2SnI after structural relaxation (GGA-PBE).

```
HfMg2SnI
1.0
5.356 0.000 0.000
0.000 5.356 0.000
0.000 0.000 5.565
I Mg Hf Sn
1 2 1 1
Cartesian
2.678 2.678 2.782
0.000 2.678 0.000
2.678 0.000 0.000
0.000 0.000 2.782
0.000 0.000 0.000
```

Values from the calculation:
The value obtained for the total energy is -16.25 eV/cell. The theoretical density is 4.917 g cm⁻³. The value obtained for the uncorrected formation energy is 0.49 eV per atom. Its space group is P4/mmm (123).

Entry from Alexandria via LeMat-Bulk: Pm2CuH6Rh after structural relaxation (GGA-PBE).

```
Pm2CuH6Rh
1.0
-4.299 -2.222 1.378
2.477 -4.311 0.776
1.590 4.353 2.789
Pm Cu H Rh
2 1 6 1
Cartesian
-1.794 -0.545 2.710
1.594 -1.590 2.409
0.016 0.022 0.081
0.220 -0.535 4.313
-0.566 -2.717 3.040
1.112 2.660 3.261
-0.991 1.573 3.934
0.300 0.476 1.702
2.323 0.551 3.640
-0.865 -3.197 1.332
```

Values from the calculation:
The value obtained for the total energy is -45.36 eV/cell. The theoretical density is 7.448 g cm⁻³. Its space group is I4mm (107).

Entry from Alexandria via LeMat-Bulk: Ce3Dy2Hg6 after structural relaxation (GGA-PBE).

```
Ce3Dy2Hg6
1.0
4.643 0.000 0.000
0.000 4.643 0.000
-2.321 -2.321 14.781
Ce Dy Hg
3 2 6
Cartesian
0.000 0.000 0.000
2.321 2.321 8.833
0.000 0.000 5.948
0.000 0.000 13.144
2.321 2.321 1.637
0.000 2.321 3.540
2.321 0.000 3.540
2.321 0.000 11.241
0.000 2.321 11.241
2.321 2.321 5.690
0.000 0.000 9.092
```

Values from the calculation:
The value obtained for the total energy is -30.42 eV/cell. The theoretical density is 10.157 g cm⁻³. Its space group is I4/mmm (139). The energy of formation from the pure elements is -146 meV/atom.

Entry from Alexandria via LeMat-Bulk: NaCaSb2 after structural relaxation (GGA-PBE).

```
NaCaSb2
1.0
4.529 0.000 0.000
0.000 4.914 0.000
0.000 0.000 4.914
Sb Ca Na
2 1 1
Cartesian
0.000 0.000 2.457
0.000 2.457 0.000
2.264 2.457 2.457
2.264 0.000 0.000
```

Values from the calculation:
The value obtained for the total energy is -13.90 eV/cell. The value obtained for the excess energy over the best structure of this formula in the dataset is 0 meV per atom. The theoretical density is 4.655 g cm⁻³. The value obtained for the uncorrected formation energy is -0.58 eV per atom. Its space group is P4/mmm (123).